#i
Here is crystalline Pm4Al3Zn at its relaxed geometry from the Alexandria database. Energies are from PBE.

Properties
DOS(E_F), states/eV per atom: 0.971
Calculated volume, Å³ per atom: 25.848
M_tot, μB/f.u.: 0.000

Cell: 3.7686 4.5442 12.0748 Å, 90.00 90.00 90.00°
With the nearest neighbours (Å) after each atom.
Atoms (fractional coordinates):
Al: 0.0000 0.0000 0.4351  2 Al 2.75
Al: 0.0000 0.5000 0.5640  2 Al 2.75
Al: 0.5000 0.0000 0.9373  2 Zn 2.74
Zn: 0.5000 0.5000 0.0645  2 Al 2.74
Pm: 0.5000 0.0000 0.6542  7 Al 3.15-3.42
Pm: 0.0000 0.5000 0.8481  5 Al 3.14-3.43, 2 Zn 3.22
Pm: 0.0000 0.0000 0.1535  4 Zn 3.14, 3 Al 3.22-3.40
Pm: 0.5000 0.5000 0.3434  6 Al 3.15-3.26, 1 Zn 3.37



#ii
Here is crystalline Pm4Al3Zn at its relaxed geometry from the Alexandria database. Energies are from PBE.

Properties
DOS(E_F), states/eV per atom: 0.718
Calculated volume, Å³ per atom: 25.167
M_tot, μB/f.u.: 0.000

Cell: 3.6632 3.6632 15.0043 Å, 90.00 90.00 90.00°
With the nearest neighbours (Å) after each atom.
Atoms (fractional coordinates):
Pm: 0.0000 0.0000 0.6258  8 Al 3.21-3.22
Pm: 0.0000 0.0000 0.8785  4 Zn 3.17, 4 Al 3.20
Pm: 0.0000 0.0000 0.1215  4 Zn 3.17, 4 Al 3.20
Pm: 0.0000 0.0000 0.3742  8 Al 3.21-3.22
Al: 0.5000 0.5000 0.5000  8 Pm 3.21
Al: 0.5000 0.5000 0.2466  8 Pm 3.20-3.22
Al: 0.5000 0.5000 0.7534  8 Pm 3.20-3.22
Zn: 0.5000 0.5000 0.0000  8 Pm 3.17



Most stable to least stable, the ends of the list are #ii and #i.



#i
Here is crystalline Pm2AlZn3 at its relaxed geometry from the Alexandria database. Energies are from PBE.

Properties
DOS(E_F), states/eV per atom: 0.905
Calculated volume, Å³ per atom: 22.079
M_tot, μB/f.u.: 0.001

Cell: 5.8732 5.8732 8.6728 Å, 105.80 105.80 101.28°
With the nearest neighbours (Å) after each atom.
Atoms (fractional coordinates):
Zn: 0.8304 0.3352 0.1656  1 Al 2.59, 2 Zn 2.59-2.65
Zn: 0.1675 0.1675 0.3349  1 Al 2.63, 2 Zn 2.65
Zn: 0.8325 0.8325 0.6651  1 Al 2.63, 2 Zn 2.65
Zn: 0.1696 0.6648 0.8344  1 Al 2.59, 2 Zn 2.59-2.65
Zn: 0.3352 0.8304 0.1656  1 Al 2.59, 2 Zn 2.59-2.65
Zn: 0.6648 0.1696 0.8344  1 Al 2.59, 2 Zn 2.59-2.65
Pm: 0.2399 0.2399 0.0000  10 Zn 3.17-3.24, 2 Al 3.23
Pm: 0.2500 0.7500 0.5000  8 Zn 3.21, 4 Al 3.23
Pm: 0.7601 0.7601 0.0000  10 Zn 3.17-3.24, 2 Al 3.23
Pm: 0.7500 0.2500 0.5000  8 Zn 3.21, 4 Al 3.23
Al: 0.3351 0.3351 0.6703  3 Zn 2.59-2.63
Al: 0.6649 0.6649 0.3297  3 Zn 2.59-2.63



#ii
Here is crystalline Pm2AlZn3 at its relaxed geometry from the Alexandria database. Energies are from PBE.

Properties
DOS(E_F), states/eV per atom: 0.915
Calculated volume, Å³ per atom: 22.601
M_tot, μB/f.u.: 0.000

Cell: 3.9461 4.3969 8.3552 Å, 105.26 103.66 90.00°
With the nearest neighbours (Å) after each atom.
Atoms (fractional coordinates):
Zn: 0.5404 0.5404 0.0809  2 Al 2.53, 1 Zn 2.53
Zn: 0.7025 0.7025 0.4050  3 Zn 2.46-2.53
Zn: 0.2960 0.7960 0.5920  2 Zn 2.46, 1 Al 2.57
Pm: 0.1261 0.1261 0.2523  10 Zn 3.19-3.45, 2 Al 3.26
Pm: 0.8745 0.3745 0.7491  8 Zn 3.20-3.47, 4 Al 3.24
Al: 0.4603 0.9603 0.9207  3 Zn 2.53-2.57



Most stable to least stable, the ends of the list are #i and #ii.



#i
Here is crystalline Pm4AlZn3 at its relaxed geometry from the Alexandria database. Energies are from PBE.

Properties
DOS(E_F), states/eV per atom: 1.112
Calculated volume, Å³ per atom: 24.713
M_tot, μB/f.u.: 0.000

Cell: 5.1845 5.1845 9.0053 Å, 73.27 73.27 60.00°
With the nearest neighbours (Å) after each atom.
Atoms (fractional coordinates):
Pm: 0.1262 0.1262 0.6213  7 Zn 3.17-3.20, 1 Al 3.22
Pm: 0.6237 0.6237 0.1288  5 Zn 3.15-3.18, 3 Al 3.19
Pm: 0.8738 0.8738 0.3787  7 Zn 3.17-3.20, 1 Al 3.22
Pm: 0.3763 0.3763 0.8712  5 Zn 3.15-3.18, 3 Al 3.19
Zn: 0.7485 0.7485 0.7546  8 Pm 3.15-3.20
Zn: 0.2515 0.2515 0.2454  8 Pm 3.15-3.20
Zn: 0.5000 0.5000 0.5000  8 Pm 3.15-3.17
Al: 0.0000 0.0000 0.0000  8 Pm 3.19-3.22



#ii
Here is crystalline Pm4AlZn3 at its relaxed geometry from the Alexandria database. Energies are from PBE.

Properties
DOS(E_F), states/eV per atom: 0.760
Calculated volume, Å³ per atom: 25.086
M_tot, μB/f.u.: 0.000

Cell: 3.6585 4.5575 12.0363 Å, 90.00 90.00 90.00°
With the nearest neighbours (Å) after each atom.
Atoms (fractional coordinates):
Al: 0.5000 0.5000 0.0626  2 Zn 2.74
Zn: 0.5000 0.0000 0.9363  2 Al 2.74
Zn: 0.0000 0.5000 0.5645  2 Zn 2.75
Zn: 0.0000 0.0000 0.4365  2 Zn 2.75
Pm: 0.5000 0.5000 0.3490  6 Zn 3.11-3.17, 1 Al 3.45
Pm: 0.0000 0.0000 0.1562  4 Al 3.13, 3 Zn 3.22-3.37
Pm: 0.0000 0.5000 0.8434  5 Zn 3.13-3.36, 2 Al 3.21
Pm: 0.5000 0.0000 0.6515  7 Zn 3.10-3.43



Most stable to least stable, the ends of the list are #i and #ii.



#i
Here is crystalline PmAl2Zn3 at its relaxed geometry from the Alexandria database. Energies are from PBE.

Properties
DOS(E_F), states/eV per atom: 0.487
Calculated volume, Å³ per atom: 19.514
M_tot, μB/f.u.: 0.000

Cell: 4.1499 4.1499 13.9104 Å, 98.58 98.58 90.00°
With the nearest neighbours (Å) after each atom.
Atoms (fractional coordinates):
Zn: 0.6926 0.6926 0.3851  5 Al 2.47-2.60
Zn: 0.4546 0.9546 0.9092  1 Zn 2.47, 2 Al 2.58
Zn: 0.3074 0.3074 0.6149  5 Al 2.47-2.60
Zn: 0.0454 0.5454 0.0908  1 Zn 2.47, 2 Al 2.58
Zn: 0.9546 0.4546 0.9092  1 Zn 2.47, 2 Al 2.58
Zn: 0.5454 0.0454 0.0908  1 Zn 2.47, 2 Al 2.58
Pm: 0.8513 0.8513 0.7026  8 Zn 3.17-3.49, 8 Al 3.20-3.45
Pm: 0.1487 0.1487 0.2974  8 Zn 3.17-3.49, 8 Al 3.20-3.45
Al: 0.7500 0.2500 0.5000  4 Zn 2.60
Al: 0.2500 0.7500 0.5000  4 Zn 2.60
Al: 0.3984 0.3984 0.7969  5 Zn 2.47-2.58
Al: 0.6016 0.6016 0.2031  5 Zn 2.47-2.58



#ii
Here is crystalline PmAl2Zn3 at its relaxed geometry from the Alexandria database. Energies are from PBE.

Properties
DOS(E_F), states/eV per atom: 0.222
Calculated volume, Å³ per atom: 19.249
M_tot, μB/f.u.: 0.000

Cell: 4.4653 8.1657 8.1631 Å, 54.65 74.13 74.13°
With the nearest neighbours (Å) after each atom.
Atoms (fractional coordinates):
Zn: 0.3258 0.4707 0.8778  3 Al 2.58-2.71
Zn: 0.6742 0.5293 0.1222  3 Al 2.58-2.71
Zn: 0.9999 0.3381 0.6621  1 Zn 2.43, 2 Al 2.56
Zn: 0.3260 0.8771 0.4708  3 Al 2.58-2.70
Zn: 0.0001 0.6619 0.3379  1 Zn 2.43, 2 Al 2.56
Zn: 0.6740 0.1229 0.5292  3 Al 2.58-2.70
Al: 0.5001 0.8298 0.1700  1 Al 2.55, 4 Zn 2.56-2.58
Al: 0.1812 0.3189 0.3187  8 Zn 2.70-2.99
Al: 0.8188 0.6811 0.6813  8 Zn 2.70-2.99
Al: 0.4999 0.1702 0.8300  1 Al 2.55, 4 Zn 2.56-2.58
Pm: 0.8645 0.1352 0.1358  8 Zn 3.04-3.20, 6 Al 3.18-3.37
Pm: 0.1355 0.8648 0.8642  8 Zn 3.04-3.20, 6 Al 3.18-3.37



Most stable to least stable, the ends of the list are #ii and #i.



#i
Here is crystalline Pm6Al2Zn at its relaxed geometry from the Alexandria database. Energies are from PBE.

Properties
DOS(E_F), states/eV per atom: 1.382
Calculated volume, Å³ per atom: 31.702
M_tot, μB/f.u.: 0.001

Cell: 5.1138 7.2977 8.8449 Å, 114.36 106.71 90.00°
With the nearest neighbours (Å) after each atom.
Atoms (fractional coordinates):
Pm: 0.5000 0.2459 0.0000  2 Zn 3.12, 2 Al 3.15
Pm: 0.8356 0.5869 0.6703  1 Zn 3.10, 3 Al 3.15
Pm: 0.1644 0.9166 0.3297  1 Zn 3.10, 3 Al 3.15
Pm: 0.5000 0.7541 0.0000  2 Zn 3.12, 2 Al 3.15
Pm: 0.8356 0.0834 0.6703  1 Zn 3.10, 3 Al 3.15
Pm: 0.1644 0.4131 0.3297  1 Zn 3.10, 3 Al 3.15
Al: 0.3340 0.3334 0.6668  8 Pm 3.15
Al: 0.6660 0.6666 0.3332  8 Pm 3.15
Zn: 0.0000 0.0000 0.0000  8 Pm 3.10-3.12



#ii
Here is crystalline Pm6Al2Zn at its relaxed geometry from the Alexandria database. Energies are from PBE.

Properties
DOS(E_F), states/eV per atom: 1.177
Calculated volume, Å³ per atom: 29.291
M_tot, μB/f.u.: 0.000

Cell: 8.8153 8.8153 8.8153 Å, 109.12 110.38 108.92°
With the nearest neighbours (Å) after each atom.
Atoms (fractional coordinates):
Pm: 0.1955 0.2551 0.4506  2 Al 3.11-3.29, 2 Zn 3.18-3.27
Pm: 0.2805 0.9532 0.6727  3 Al 3.04-3.17, 1 Zn 3.37
Pm: 0.1955 0.7449 0.9403  2 Al 3.11-3.29, 2 Zn 3.18-3.27
Pm: 0.7195 0.0468 0.3273  3 Al 3.04-3.17, 1 Zn 3.37
Pm: 0.0861 0.2595 0.8266  1 Zn 3.18, 3 Al 3.28-3.29, 1 Pm 3.49
Pm: 0.5671 0.7405 0.8266  1 Zn 3.18, 3 Al 3.28-3.29, 1 Pm 3.49
Pm: 0.4329 0.2595 0.1734  1 Zn 3.18, 3 Al 3.28-3.29, 1 Pm 3.49
Pm: 0.2805 0.6078 0.3273  3 Al 3.04-3.17, 1 Zn 3.37
Pm: 0.8045 0.2551 0.0597  2 Al 3.11-3.29, 2 Zn 3.18-3.27
Pm: 0.9139 0.7405 0.1734  1 Zn 3.18, 3 Al 3.28-3.29, 1 Pm 3.49
Pm: 0.7195 0.3922 0.6727  3 Al 3.04-3.17, 1 Zn 3.37
Pm: 0.8045 0.7449 0.5494  2 Al 3.11-3.29, 2 Zn 3.18-3.27
Al: 0.3634 0.0000 0.3634  1 Al 2.75
Al: 0.6366 0.0000 0.6366  1 Al 2.75
Al: 0.5000 0.3726 0.8726  1 Al 2.61
Al: 0.5000 0.6274 0.1274  1 Al 2.61
Zn: 0.0000 0.0000 0.0000  8 Pm 3.18-3.27
Zn: 0.0000 0.5000 0.5000  8 Pm 3.18-3.37



Most stable to least stable, the ends of the list are #ii and #i.



#i
Here is crystalline Pm2AlZn5 at its relaxed geometry from the Alexandria database. Energies are from PBE.

Properties
DOS(E_F), states/eV per atom: 0.633
Calculated volume, Å³ per atom: 20.462
M_tot, μB/f.u.: 0.000

Cell: 6.0298 6.0298 6.0298 Å, 97.81 115.60 115.60°
With the nearest neighbours (Å) after each atom.
Atoms (fractional coordinates):
Zn: 0.0000 0.2266 0.2266  8 Zn 3.05-3.07, 1 Al 3.11, 4 Pm 3.24
Zn: 0.4261 0.7396 0.7396  4 Zn 2.74-3.07, 1 Al 3.02, 4 Pm 3.03-3.04
Zn: 0.0000 0.7396 0.3134  4 Zn 2.74-3.07, 1 Al 3.02, 4 Pm 3.03-3.04
Zn: 0.5739 0.3134 0.3134  4 Zn 2.74-3.07, 1 Al 3.02, 4 Pm 3.03-3.04
Zn: 0.0000 0.3134 0.7396  4 Zn 2.74-3.07, 1 Al 3.02, 4 Pm 3.03-3.04
Pm: 0.5000 0.7775 0.2775  10 Zn 3.03-3.24, 2 Al 3.24
Pm: 0.5000 0.2775 0.7775  10 Zn 3.03-3.24, 2 Al 3.24
Al: 0.0000 0.8345 0.8345  9 Zn 3.02-3.12, 4 Pm 3.24



#ii
Here is crystalline Pm2AlZn5 at its relaxed geometry from the Alexandria database. Energies are from PBE.

Properties
DOS(E_F), states/eV per atom: 0.670
Calculated volume, Å³ per atom: 20.118
M_tot, μB/f.u.: 0.000

Cell: 4.4473 8.4250 8.9068 Å, 90.00 90.00 105.30°
With the nearest neighbours (Å) after each atom.
Atoms (fractional coordinates):
Pm: 0.7954 0.5907 0.7500  13 Zn 3.12-3.38, 2 Al 3.27
Pm: 0.0000 0.0000 0.5000  10 Zn 3.17-3.52, 4 Al 3.28
Pm: 0.0000 0.0000 0.0000  10 Zn 3.17-3.52, 4 Al 3.28
Pm: 0.2046 0.4093 0.2500  13 Zn 3.12-3.38, 2 Al 3.27
Zn: 0.4023 0.8047 0.2500  1 Al 2.51, 2 Zn 2.56
Zn: 0.8141 0.6281 0.1068  4 Zn 2.55-2.78
Zn: 0.8141 0.6281 0.3932  4 Zn 2.55-2.78
Zn: 0.6497 0.2994 0.0209  1 Al 2.54, 4 Zn 2.56-2.78
Zn: 0.6497 0.2994 0.4791  1 Al 2.54, 4 Zn 2.56-2.78
Zn: 0.1859 0.3719 0.6068  4 Zn 2.55-2.78
Zn: 0.1859 0.3719 0.8932  4 Zn 2.55-2.78
Zn: 0.5977 0.1953 0.7500  1 Al 2.51, 2 Zn 2.56
Zn: 0.3503 0.7006 0.9791  1 Al 2.54, 4 Zn 2.56-2.78
Zn: 0.3503 0.7006 0.5209  1 Al 2.54, 4 Zn 2.56-2.78
Al: 0.4430 0.8861 0.7500  3 Zn 2.51-2.54
Al: 0.5570 0.1139 0.2500  3 Zn 2.51-2.54



Most stable to least stable, the ends of the list are #ii and #i.